No. 1
The following is a DFT calculation (GGA-PBE) of a relaxed structure of Pm4Pb3.

Results
E_form	-0.5802	eV/atom
volume	449	Å³/cell
uncorrected energy	-68.38	eV per cell
space group	I-43d

Cell lengths 8.3533, 8.3533, 8.3533 Å; angles 109.47, 109.47, 109.47 degrees
Last column: nearest neighbours and their distance in Å.
Atoms (fractional coordinates):
Pm  0.0000  0.3615  0.5000  6 Pb 3.20-3.49
Pm  0.0000  0.8615  0.5000  6 Pb 3.20-3.49
Pm  0.1385  0.1385  0.1385  6 Pb 3.20-3.49
Pm  0.3615  0.5000  0.0000  6 Pb 3.20-3.49
Pm  0.5000  0.0000  0.3615  6 Pb 3.20-3.49
Pm  0.5000  0.0000  0.8615  6 Pb 3.20-3.49
Pm  0.6385  0.6385  0.6385  6 Pb 3.20-3.49
Pm  0.8615  0.5000  0.0000  6 Pb 3.20-3.49
Pb  0.1250  0.7500  0.8750  8 Pm 3.20-3.49
Pb  0.2500  0.6250  0.3750  8 Pm 3.20-3.49
Pb  0.3750  0.2500  0.6250  8 Pm 3.20-3.49
Pb  0.6250  0.3750  0.2500  8 Pm 3.20-3.49
Pb  0.7500  0.8750  0.1250  8 Pm 3.20-3.49
Pb  0.8750  0.1250  0.7500  8 Pm 3.20-3.49

***

No. 2
The following is a DFT calculation (GGA-PBE) of a relaxed structure of HoScAs2O8.

Results
volume	136	Å³/cell
uncorrected energy	-87.10	eV per cell
space group	I-4
formation energy (no corrections)	-2.27	eV/atom

Cell lengths 6.5549, 6.5549, 6.5549 Å; angles 135.65, 135.65, 64.52 degrees
Last column: nearest neighbours and their distance in Å.
Atoms (fractional coordinates):
Ho  0.0000  0.0000  0.0000  8 O 2.29-2.40
Sc  0.7500  0.2500  0.5000  8 O 2.22-2.34
As  0.2500  0.7500  0.5000  4 O 1.74
As  0.5000  0.5000  0.0000  4 O 1.73
O  0.0085  0.9297  0.5930  1 As 1.74
O  0.0703  0.6633  0.0788  1 As 1.74
O  0.1621  0.2656  0.5917  1 As 1.73
O  0.3367  0.4155  0.4070  1 As 1.74
O  0.4296  0.8379  0.1034  1 As 1.73
O  0.5845  0.9915  0.9212  1 As 1.74
O  0.6739  0.5704  0.4083  1 As 1.73
O  0.7344  0.3261  0.8966  1 As 1.73

***

No. 3
The following is a DFT calculation (GGA-PBE) of a relaxed structure of DyAg2Bi2.

Results
E_form	-0.3249	eV/atom
volume	249	Å³/cell
uncorrected energy	-39.38	eV per cell
space group	Cmcm

Cell lengths 11.9761, 11.9761, 4.6030 Å; angles 90.00, 90.00, 157.82 degrees
Last column: nearest neighbours and their distance in Å.
Atoms (fractional coordinates):
Dy  0.1435  0.8565  0.7500  8 Bi 3.31-3.41, 4 Ag 3.39-3.40
Dy  0.8565  0.1435  0.2500  8 Bi 3.31-3.41, 4 Ag 3.39-3.40
Ag  0.0369  0.9631  0.2500  4 Ag 2.88-2.89, 2 Bi 3.01
Ag  0.4625  0.5375  0.2500  4 Ag 2.89-2.90, 2 Bi 3.00
Ag  0.5375  0.4625  0.7500  4 Ag 2.89-2.90, 2 Bi 3.00
Ag  0.9631  0.0369  0.7500  4 Ag 2.88-2.89, 2 Bi 3.01
Bi  0.2503  0.7497  0.2500  4 Bi 3.26, 4 Dy 3.40-3.41
Bi  0.3808  0.6192  0.7500  4 Ag 3.00-3.01, 4 Dy 3.31
Bi  0.6192  0.3808  0.2500  4 Ag 3.00-3.01, 4 Dy 3.31
Bi  0.7497  0.2503  0.7500  4 Bi 3.26, 4 Dy 3.40-3.41

***

No. 4
The following is a DFT calculation (GGA-PBE) of a relaxed structure of V2Fe2Cu.

Results
E_form	0.0484	eV/atom
volume	122	Å³/cell
uncorrected energy	-78.03	eV per cell
space group	P4/mbm

Cell lengths 6.6689, 6.6689, 2.7456 Å; angles 90.00, 90.00, 90.00 degrees
Last column: nearest neighbours and their distance in Å.
Atoms (fractional coordinates):
V  0.1610  0.3390  0.0000  6 Fe 2.33-2.43
V  0.3390  0.8390  0.0000  6 Fe 2.33-2.43
V  0.6610  0.1610  0.0000  6 Fe 2.33-2.43
V  0.8390  0.6610  0.0000  6 Fe 2.33-2.43
Fe  0.1392  0.6392  0.5000  6 V 2.33-2.43, 2 Cu 2.58
Fe  0.3608  0.1392  0.5000  6 V 2.33-2.43, 2 Cu 2.58
Fe  0.6392  0.8608  0.5000  6 V 2.33-2.43, 2 Cu 2.58
Fe  0.8608  0.3608  0.5000  6 V 2.33-2.43, 2 Cu 2.58
Cu  0.0000  0.0000  0.5000  4 Fe 2.58, 2 Cu 2.75, 8 V 2.85
Cu  0.5000  0.5000  0.5000  4 Fe 2.58, 2 Cu 2.75, 8 V 2.85

***

No. 5
The following is a DFT calculation (GGA-PBE) of a relaxed structure of ScTi2CuC.

Results
E_form	-0.0291	eV/atom
volume	74	Å³/cell
uncorrected energy	-35.59	eV per cell
space group	P4/mmm

Cell lengths 4.2743, 4.2743, 4.0669 Å; angles 90.00, 90.00, 90.00 degrees
Last column: nearest neighbours and their distance in Å.
Atoms (fractional coordinates):
Sc  0.0000  0.0000  0.0000  8 Ti 2.95, 4 Cu 3.02
Ti  0.0000  0.5000  0.5000  2 C 2.14
Ti  0.5000  0.0000  0.5000  2 C 2.14
Cu  0.5000  0.5000  0.0000  2 C 2.03
C  0.5000  0.5000  0.5000  2 Cu 2.03, 4 Ti 2.14

***

No. 6
The following is a DFT calculation (GGA-PBE) of a relaxed structure of GdDyTmSc.

Results
E_form	0.1040	eV/atom
volume	119	Å³/cell
uncorrected energy	-29.07	eV per cell
space group	F-43m

Cell lengths 5.5139, 5.5139, 5.5139 Å; angles 60.00, 60.00, 60.00 degrees
Last column: nearest neighbours and their distance in Å.
Atoms (fractional coordinates):
Gd  0.0000  0.0000  0.0000  4 Tm 3.38, 4 Sc 3.38
Dy  0.5000  0.5000  0.5000  4 Tm 3.38, 4 Sc 3.38
Tm  0.7500  0.7500  0.7500  4 Gd 3.38, 4 Dy 3.38
Sc  0.2500  0.2500  0.2500  4 Gd 3.38, 4 Dy 3.38

***

No. 7
The following is a DFT calculation (GGA-PBE) of a relaxed structure of Sm4DyErS8.

Results
volume	385	Å³/cell
uncorrected energy	-87.95	eV per cell
space group	R3m
formation energy (no corrections)	-1.92	eV/atom

Cell lengths 8.1571, 8.1571, 8.1571 Å; angles 60.10, 60.10, 60.10 degrees
Last column: nearest neighbours and their distance in Å.
Atoms (fractional coordinates):
Sm  0.0000  0.0000  0.0000  4 S 2.65-2.67
Sm  0.3766  0.3766  0.8728  6 S 2.82-2.84
Sm  0.3766  0.8728  0.3766  6 S 2.82-2.84
Sm  0.8728  0.3766  0.3766  6 S 2.82-2.84
Dy  0.3764  0.3764  0.3764  6 S 2.76-2.78
Er  0.7510  0.7510  0.7510  4 S 2.58-2.60
S  0.1330  0.1330  0.1330  4 Sm 2.65-2.82
S  0.1378  0.1378  0.5990  3 Sm 2.67-2.82, 1 Dy 2.76
S  0.1378  0.5990  0.1378  3 Sm 2.67-2.82, 1 Dy 2.76
S  0.1408  0.6171  0.6171  1 Er 2.60, 1 Dy 2.78, 2 Sm 2.84
S  0.5990  0.1378  0.1378  3 Sm 2.67-2.82, 1 Dy 2.76
S  0.6171  0.1408  0.6171  1 Er 2.60, 1 Dy 2.78, 2 Sm 2.84
S  0.6171  0.6171  0.1408  1 Er 2.60, 1 Dy 2.78, 2 Sm 2.84
S  0.6219  0.6219  0.6219  1 Er 2.58, 3 Sm 2.83

***

No. 8
The following is a DFT calculation (GGA-PBE) of a relaxed structure of Zn2Ni3Ir.

Results
E_form	0.0698	eV/atom
volume	302	Å³/cell
uncorrected energy	-113.34	eV per cell
space group	I4_1/amd

Cell lengths 7.4062, 7.4062, 7.4062 Å; angles 115.94, 115.94, 97.18 degrees
Last column: nearest neighbours and their distance in Å.
Atoms (fractional coordinates):
Zn  0.2676  0.3469  0.5793  5 Ni 2.36-2.38, 1 Ir 2.59
Zn  0.2676  0.6884  0.9207  5 Ni 2.36-2.38, 1 Ir 2.59
Zn  0.3116  0.7324  0.5793  5 Ni 2.36-2.38, 1 Ir 2.59
Zn  0.3469  0.2676  0.0793  5 Ni 2.36-2.38, 1 Ir 2.59
Zn  0.6531  0.7324  0.9207  5 Ni 2.36-2.38, 1 Ir 2.59
Zn  0.6884  0.2676  0.4207  5 Ni 2.36-2.38, 1 Ir 2.59
Zn  0.7324  0.3116  0.0793  5 Ni 2.36-2.38, 1 Ir 2.59
Zn  0.7324  0.6531  0.4207  5 Ni 2.36-2.38, 1 Ir 2.59
Ni  0.0000  0.5000  0.5000  6 Zn 2.36-2.38, 4 Ni 2.61
Ni  0.0850  0.3350  0.1701  2 Zn 2.36, 4 Ni 2.53-2.61
Ni  0.0850  0.9150  0.7500  2 Zn 2.36, 4 Ni 2.53-2.61
Ni  0.3350  0.0850  0.6701  2 Zn 2.36, 4 Ni 2.53-2.61
Ni  0.3350  0.6650  0.2500  2 Zn 2.36, 4 Ni 2.53-2.61
Ni  0.5000  0.0000  0.0000  6 Zn 2.36-2.38, 4 Ni 2.61
Ni  0.5000  0.5000  0.0000  6 Zn 2.36-2.38, 4 Ni 2.61
Ni  0.5000  0.5000  0.5000  6 Zn 2.36-2.38, 4 Ni 2.61
Ni  0.6650  0.3350  0.7500  2 Zn 2.36, 4 Ni 2.53-2.61
Ni  0.6650  0.9150  0.3299  2 Zn 2.36, 4 Ni 2.53-2.61
Ni  0.9150  0.0850  0.2500  2 Zn 2.36, 4 Ni 2.53-2.61
Ni  0.9150  0.6650  0.8299  2 Zn 2.36, 4 Ni 2.53-2.61
Ir  0.0197  0.2697  0.7500  4 Zn 2.59-2.77, 4 Ni 2.73, 1 Ir 2.84
Ir  0.2697  0.0197  0.2500  4 Zn 2.59-2.77, 4 Ni 2.73, 1 Ir 2.84
Ir  0.7303  0.9803  0.7500  4 Zn 2.59-2.77, 4 Ni 2.73, 1 Ir 2.84
Ir  0.9803  0.7303  0.2500  4 Zn 2.59-2.77, 4 Ni 2.73, 1 Ir 2.84

***

No. 9
The following is a DFT calculation (GGA-PBE) of a relaxed structure of Nd2SmIr9.

Results
E_form	-0.5185	eV/atom
volume	221	Å³/cell
uncorrected energy	-100.23	eV per cell
space group	R-3m

Cell lengths 9.3903, 9.3903, 9.3903 Å; angles 33.22, 33.22, 33.22 degrees
Last column: nearest neighbours and their distance in Å.
Atoms (fractional coordinates):
Nd  0.1395  0.1395  0.1395  12 Ir 3.11-3.39, 3 Nd 3.42
Nd  0.8605  0.8605  0.8605  12 Ir 3.11-3.39, 3 Nd 3.42
Sm  0.0000  0.0000  0.0000  18 Ir 3.10-3.44
Ir  0.0839  0.5791  0.5791  7 Ir 2.63-2.75
Ir  0.3321  0.3321  0.3321  6 Ir 2.63-2.66
Ir  0.4209  0.4209  0.9161  7 Ir 2.63-2.75
Ir  0.4209  0.9161  0.4209  7 Ir 2.63-2.75
Ir  0.5000  0.5000  0.5000  6 Ir 2.75
Ir  0.5791  0.0839  0.5791  7 Ir 2.63-2.75
Ir  0.5791  0.5791  0.0839  7 Ir 2.63-2.75
Ir  0.6679  0.6679  0.6679  6 Ir 2.63-2.66
Ir  0.9161  0.4209  0.4209  7 Ir 2.63-2.75

***

No. 10
The following is a DFT calculation (GGA-PBE) of a relaxed structure of BAsSe3.

Results
volume	264	Å³/cell
uncorrected energy	-44.02	eV per cell
space group	R-3
formation energy (no corrections)	-0.05	eV/atom

Cell lengths 8.6824, 8.6824, 8.6824 Å; angles 41.89, 41.89, 41.89 degrees
Last column: nearest neighbours and their distance in Å.
Atoms (fractional coordinates):
B  0.0727  0.0727  0.0727  3 Se 1.96
B  0.9273  0.9273  0.9273  3 Se 1.96
As  0.3648  0.3648  0.3648  3 Se 2.50
As  0.6352  0.6352  0.6352  3 Se 2.50
Se  0.0696  0.4029  0.7747  1 B 1.96
Se  0.2253  0.9304  0.5971  1 B 1.96
Se  0.4029  0.7747  0.0696  1 B 1.96
Se  0.5971  0.2253  0.9304  1 B 1.96
Se  0.7747  0.0696  0.4029  1 B 1.96
Se  0.9304  0.5971  0.2253  1 B 1.96

***

No. 11
The following is a DFT calculation (GGA-PBE) of a relaxed structure of LiAc2In6Au.

Results
E_form	-0.3200	eV/atom
volume	545	Å³/cell
uncorrected energy	-66.08	eV per cell
space group	R-3m

Cell lengths 13.0824, 13.0824, 13.0824 Å; angles 31.58, 31.58, 31.58 degrees
Last column: nearest neighbours and their distance in Å.
Atoms (fractional coordinates):
Li  0.0000  0.0000  0.0000  6 In 2.61
Li  0.5000  0.5000  0.5000  6 In 2.67, 2 Au 2.71
Ac  0.1100  0.1100  0.1100  12 In 3.59-3.75
Ac  0.2838  0.2838  0.2838  12 In 3.59-3.66
Ac  0.7162  0.7162  0.7162  12 In 3.59-3.66
Ac  0.8900  0.8900  0.8900  12 In 3.59-3.75
In  0.0813  0.6603  0.6603  1 Li 2.67, 1 Au 2.81
In  0.2181  0.2181  0.6691  1 Li 2.61, 1 Au 2.87
In  0.2181  0.6691  0.2181  1 Li 2.61, 1 Au 2.87
In  0.3309  0.7819  0.7819  1 Li 2.61, 1 Au 2.87
In  0.3397  0.3397  0.9187  1 Li 2.67, 1 Au 2.81
In  0.3397  0.9187  0.3397  1 Li 2.67, 1 Au 2.81
In  0.6603  0.0813  0.6603  1 Li 2.67, 1 Au 2.81
In  0.6603  0.6603  0.0813  1 Li 2.67, 1 Au 2.81
In  0.6691  0.2181  0.2181  1 Li 2.61, 1 Au 2.87
In  0.7819  0.3309  0.7819  1 Li 2.61, 1 Au 2.87
In  0.7819  0.7819  0.3309  1 Li 2.61, 1 Au 2.87
In  0.9187  0.3397  0.3397  1 Li 2.67, 1 Au 2.81
Au  0.4272  0.4272  0.4272  1 Li 2.71, 6 In 2.81-2.87
Au  0.5728  0.5728  0.5728  1 Li 2.71, 6 In 2.81-2.87

***

No. 12
The following is a DFT calculation (GGA-PBE) of a relaxed structure of La12Dy7Ho.

Results
E_form	0.1888	eV/atom
volume	708	Å³/cell
uncorrected energy	-92.15	eV per cell
space group	R-3m

Cell lengths 11.5242, 11.5242, 11.5242 Å; angles 116.68, 116.68, 116.68 degrees
Last column: nearest neighbours and their distance in Å.
Atoms (fractional coordinates):
La  0.0000  0.4080  0.5920  3 La 3.31-3.61, 2 Dy 3.39
La  0.0000  0.5920  0.4080  3 La 3.31-3.61, 2 Dy 3.39
La  0.0722  0.0722  0.4265  1 La 3.31, 4 Dy 3.37-3.64
La  0.0722  0.4265  0.0722  1 La 3.31, 4 Dy 3.37-3.64
La  0.4080  0.0000  0.5920  3 La 3.31-3.61, 2 Dy 3.39
La  0.4080  0.5920  0.0000  3 La 3.31-3.61, 2 Dy 3.39
La  0.4265  0.0722  0.0722  1 La 3.31, 4 Dy 3.37-3.64
La  0.5735  0.9278  0.9278  1 La 3.31, 4 Dy 3.37-3.64
La  0.5920  0.0000  0.4080  3 La 3.31-3.61, 2 Dy 3.39
La  0.5920  0.4080  0.0000  3 La 3.31-3.61, 2 Dy 3.39
La  0.9278  0.5735  0.9278  1 La 3.31, 4 Dy 3.37-3.64
La  0.9278  0.9278  0.5735  1 La 3.31, 4 Dy 3.37-3.64
Dy  0.0000  0.0000  0.0000  2 Ho 3.19, 6 Dy 3.40
Dy  0.1378  0.3854  0.3854  1 Ho 3.07, 3 La 3.37-3.39, 1 Dy 3.40
Dy  0.3854  0.1378  0.3854  1 Ho 3.07, 3 La 3.37-3.39, 1 Dy 3.40
Dy  0.3854  0.3854  0.1378  1 Ho 3.07, 3 La 3.37-3.39, 1 Dy 3.40
Dy  0.6146  0.6146  0.8622  1 Ho 3.07, 3 La 3.37-3.39, 1 Dy 3.40
Dy  0.6146  0.8622  0.6146  1 Ho 3.07, 3 La 3.37-3.39, 1 Dy 3.40
Dy  0.8622  0.6146  0.6146  1 Ho 3.07, 3 La 3.37-3.39, 1 Dy 3.40
Ho  0.5000  0.5000  0.5000  8 Dy 3.07-3.19